Record 1
DFT (PBE-GGA) results for an optimized crystal structure of LiLuH3.

abc: 3.4946 3.4946 3.4946
angles: 90.00 90.00 90.00
Last column: nearest neighbours and their distance in Å.
Sites, in units of the cell vectors:
H: 0.0000 0.0000 0.5000  2 Li 1.75
H: 0.5000 0.0000 0.0000  2 Li 1.75
H: 0.0000 0.5000 0.0000  2 Li 1.75
Li: 0.0000 0.0000 0.0000  6 H 1.75
Lu: 0.5000 0.5000 0.5000  12 H 2.47

Results
Electronic total energy: -18.18 eV for the cell shown
Space-group type: Pm-3m
Crystal system: cubic
D(E_F): 0.14 states/eV/atom

=====

Record 2
DFT (PBE-GGA) results for an optimized crystal structure of SmTiO3.

abc: 3.8437 6.0628 6.4935
angles: 107.87 90.00 90.00
Last column: nearest neighbours and their distance in Å.
Sites, in units of the cell vectors:
O: 0.2500 0.8238 0.8796  1 Ti 1.97
O: 0.7500 0.8305 0.3487  1 Ti 1.93
O: 0.7500 0.5597 0.6321  3 Ti 2.02-2.04
O: 0.2500 0.4403 0.3679  3 Ti 2.02-2.04
O: 0.7500 0.1762 0.1204  1 Ti 1.97
O: 0.2500 0.1695 0.6513  1 Ti 1.93
Ti: 0.2500 0.4990 0.6950  5 O 1.93-2.04
Ti: 0.7500 0.5010 0.3050  5 O 1.93-2.04
Sm: 0.7500 0.9814 0.7522  7 O 2.32-2.50
Sm: 0.2500 0.0186 0.2478  7 O 2.32-2.50

Results
Space-group type: P2_1/m
Formation energy without anion corrections: -3.096 eV per atom
Crystal system: monoclinic
D(E_F): 0.31 states/eV/atom

=====

Record 3
DFT (PBE-GGA) results for an optimized crystal structure of ZnAg2Sb2.

abc: 7.1608 7.1608 4.3418
angles: 90.00 90.00 90.00
Last column: nearest neighbours and their distance in Å.
Sites, in units of the cell vectors:
Zn: 0.0000 0.0000 0.0000  4 Ag 2.76
Zn: 0.5000 0.5000 0.0000  4 Ag 2.76
Sb: 0.6626 0.8374 0.5000  6 Ag 2.93-3.08
Sb: 0.8374 0.3374 0.5000  6 Ag 2.93-3.08
Sb: 0.1626 0.6626 0.5000  6 Ag 2.93-3.08
Sb: 0.3374 0.1626 0.5000  6 Ag 2.93-3.08
Ag: 0.1424 0.3576 0.0000  2 Zn 2.76, 1 Ag 2.88, 6 Sb 2.93-3.08
Ag: 0.8576 0.6424 0.0000  2 Zn 2.76, 1 Ag 2.88, 6 Sb 2.93-3.08
Ag: 0.3576 0.8576 0.0000  2 Zn 2.76, 1 Ag 2.88, 6 Sb 2.93-3.08
Ag: 0.6424 0.1424 0.0000  2 Zn 2.76, 1 Ag 2.88, 6 Sb 2.93-3.08

Results
Energy above the most stable polymorph in this dataset: 0 meV per atom
Space-group type: P4/mbm
Formation energy without anion corrections: 0.202 eV per atom
Crystal system: tetragonal
D(E_F): 0.35 states/eV/atom

=====

no.,V (Å³/cell)
1,43
2,144
3,223